Entry 1:
# CrHO2

CrHO2 after structural relaxation (PBE+U, the Alexandria database).

Properties
SG: P2_1/c (14)
V: 8.74 Å³ per atom
Total magnetization: 3.00 μB per formula unit
Total energy: -6.72 eV per atom

a = 5.4115 Å, b = 5.5797 Å, c = 5.3639 Å
α = 120.29°, β = 90.00°, γ = 90.00°
Each line ends with the local moment (μB).
Positions (direct):
Cr1 0.1276 0.2664 0.0090  3.01
Cr2 0.3724 0.7664 0.5090  3.01
Cr3 0.8724 0.7336 0.9910  3.01
Cr4 0.6276 0.2336 0.4910  3.01
H1 0.6752 0.1662 0.9934  0.01
H2 0.1752 0.3338 0.5066  0.01
H3 0.3248 0.8338 0.0066  0.01
H4 0.8248 0.6662 0.4934  0.01
O1 0.4401 0.1779 0.7747  -0.06
O2 0.1939 0.8364 0.8719  -0.04
O3 0.9401 0.3221 0.7253  -0.06
O4 0.5599 0.8221 0.2253  -0.06
O5 0.8061 0.1636 0.1281  -0.04
O6 0.6939 0.6636 0.6281  -0.04
O7 0.3061 0.3364 0.3719  -0.04
O8 0.0599 0.6779 0.2747  -0.06

Entry 2:
# CrHO2

CrHO2 after structural relaxation (PBE+U, the Alexandria database).

Properties
SG: I-42d (122)
V: 8.76 Å³ per atom
Total magnetization: 3.00 μB per formula unit
Total energy: -5.88 eV per atom

a = 4.2567 Å, b = 4.2567 Å, c = 4.9024 Å
α = 64.27°, β = 64.27°, γ = 90.00°
Each line ends with the local moment (μB).
Positions (direct):
Cr1 0.0000 0.0000 0.0000  3.09
Cr2 0.7500 0.2500 0.5000  3.11
O1 0.5778 0.1250 0.2500  -0.14
O2 0.1722 0.6250 0.2500  -0.14
O3 0.3750 0.4222 0.7500  -0.14
O4 0.8750 0.8278 0.7500  -0.14
H1 0.5000 0.5000 0.0000  0.03
H2 0.2500 0.7500 0.5000  0.03

Entry 3:
# CrH2O

CrH2O after structural relaxation (PBE+U, the Alexandria database).

Properties
ΔE to the lowest computed polymorph: 630 meV/atom
SG: Fm-3m (225)
V: 6.77 Å³ per atom
Total magnetization: 3.10 μB per formula unit

a = 3.3702 Å, b = 3.3702 Å, c = 3.3702 Å
α = 60.00°, β = 60.00°, γ = 60.00°
Each line ends with the local moment (μB).
Positions (direct):
Cr1 0.5000 0.5000 0.5000  3.59
O1 0.0000 0.0000 0.0000  -0.20
H1 0.2500 0.2500 0.2500  -0.12
H2 0.7500 0.7500 0.7500  -0.12

Entry 4:
# CrHO2

CrHO2 after structural relaxation (PBE+U, the Alexandria database).

Properties
SG: Pmn2_1 (31)
V: 8.22 Å³ per atom
Total magnetization: 3.00 μB per formula unit
Total energy: -6.84 eV per atom

a = 3.0408 Å, b = 4.3696 Å, c = 4.9485 Å
α = 90.00°, β = 90.00°, γ = 90.00°
Each line ends with the local moment (μB).
Positions (direct):
Cr1 0.5000 0.2634 0.4845  3.02
Cr2 0.0000 0.7366 0.9845  3.02
O1 0.0000 0.5144 0.6286  -0.06
O2 0.5000 0.4856 0.1286  -0.06
O3 0.5000 0.0125 0.8416  -0.05
O4 0.0000 0.9875 0.3416  -0.05
H1 0.5000 0.2091 0.9682  0.01
H2 0.0000 0.7909 0.4682  0.01

Question: Which formula does entry 4 have?
Answer: CrHO2